Record 1
Material: NbRe3Os
Method: DFT, PBE
State: relaxed

Structure (POSCAR):
```
NbRe3Os
1.0
4.631 0.000 0.000
0.000 4.631 0.000
0.000 0.000 4.631
Nb Re Os
1 3 1
Cartesian
0.000 0.000 0.000
0.000 0.000 2.316
0.000 2.316 0.000
2.316 0.000 0.000
2.316 2.316 2.316
```

As for the energy of formation from the pure elements: 2.756 eV per atom. The calculation puts the total moment at 0.00 μB per formula unit. Its symmetry is No. 221. The calculation puts the total energy at -44.9 eV/cell.

=====

Record 2
Material: NbReOs3
Method: DFT, PBE
State: relaxed

Structure (POSCAR):
```
NbReOs3
1.0
4.659 0.000 0.000
0.000 4.659 0.000
0.000 0.000 4.659
Nb Re Os
1 1 3
Cartesian
0.000 0.000 0.000
2.330 2.330 2.330
0.000 2.330 2.330
2.330 0.000 2.330
2.330 2.330 0.000
```

As for the energy of formation from the pure elements: 2.074 eV per atom. The calculation puts the total moment at 0.01 μB per formula unit. Its symmetry is No. 221. The calculation puts the total energy at -45.8 eV/cell.

=====

Record 3
Material: NbReOs3
Method: DFT, PBE
State: relaxed

Structure (POSCAR):
```
NbReOs3
1.0
4.448 0.000 0.000
0.000 5.514 0.000
-2.222 0.000 6.394
Nb Re Os
2 2 6
Cartesian
-0.003 1.379 0.024
2.230 4.136 6.370
0.000 1.379 4.802
2.226 4.136 1.592
0.001 0.001 2.474
0.001 2.756 2.474
0.003 4.136 4.784
2.223 1.379 1.611
2.226 5.514 3.921
2.226 2.758 3.921
```

As for the energy of formation from the pure elements: 0.191 eV per atom. The calculation puts the total moment at 0.00 μB per formula unit. Its symmetry is No. 11. The calculation puts the total energy at -110.5 eV/cell.

=====

Record 4
Material: Nb2ReOs2
Method: DFT, PBE
State: relaxed

Structure (POSCAR):
```
Nb2ReOs2
1.0
7.393 0.000 0.000
0.000 7.393 0.000
0.000 0.000 3.040
Nb Re Os
4 2 4
Cartesian
1.244 2.453 0.000
2.453 6.149 0.000
4.940 1.244 0.000
6.149 4.940 0.000
0.000 0.000 1.520
3.696 3.696 1.520
0.987 4.684 1.520
2.709 0.987 1.520
4.684 6.406 1.520
6.406 2.709 1.520
```

As for the energy of formation from the pure elements: 0.208 eV per atom. The calculation puts the total moment at 0.00 μB per formula unit. Its symmetry is No. 127. The calculation puts the total energy at -108.0 eV/cell.

=====

Record 5
Material: NbReOs2
Method: DFT, PBE
State: relaxed

Structure (POSCAR):
```
NbReOs2
1.0
5.609 0.000 0.000
0.000 5.609 0.000
0.000 0.000 11.844
Nb Re Os
4 4 8
Cartesian
0.000 0.000 0.000
0.000 2.804 2.961
2.804 0.000 8.883
2.804 2.804 5.922
0.000 0.000 5.922
0.000 2.804 8.883
2.804 0.000 2.961
2.804 2.804 0.000
1.296 1.402 7.403
1.402 4.100 10.364
1.402 4.312 4.442
1.508 1.402 1.481
4.100 4.206 1.481
4.206 1.296 4.442
4.206 1.508 10.364
4.312 4.206 7.403
```

As for the energy of formation from the pure elements: 1.344 eV per atom. The calculation puts the total moment at 0.00 μB per formula unit. Its symmetry is No. 122. The calculation puts the total energy at -158.4 eV/cell.

=====

Record 6
Material: Nb4Re3Os
Method: DFT, PBE
State: relaxed

Structure (POSCAR):
```
Nb4Re3Os
1.0
3.205 0.000 0.000
0.000 4.527 0.000
0.000 0.000 9.050
Nb Re Os
4 3 1
Cartesian
0.000 0.000 0.000
0.000 0.000 4.525
0.000 2.264 2.239
0.000 2.264 6.810
1.602 0.000 2.280
1.602 0.000 6.770
1.602 2.264 0.000
1.602 2.264 4.525
```

As for the energy of formation from the pure elements: -0.253 eV per atom. The calculation puts the total moment at 0.00 μB per formula unit. Its symmetry is No. 47. The calculation puts the total energy at -90.9 eV/cell.

=====

Record 7
Material: Nb6ReOs
Method: DFT, PBE
State: relaxed

Structure (POSCAR):
```
Nb6ReOs
1.0
5.183 0.000 0.000
0.000 5.183 0.000
0.000 0.000 5.183
Nb Re Os
6 1 1
Cartesian
0.000 1.296 2.591
0.000 3.887 2.591
1.296 2.591 0.000
2.591 0.000 1.296
2.591 0.000 3.887
3.887 2.591 0.000
0.000 0.000 0.000
2.591 2.591 2.591
```

As for the energy of formation from the pure elements: -0.205 eV per atom. The calculation puts the total moment at 0.00 μB per formula unit. Its symmetry is No. 200. The calculation puts the total energy at -85.7 eV/cell.

=====

Record 8
Material: NbReOs2
Method: DFT, PBE
State: relaxed

Structure (POSCAR):
```
NbReOs2
1.0
3.955 0.000 0.000
0.000 3.955 0.000
0.000 0.000 3.932
Nb Re Os
1 1 2
Cartesian
0.000 0.000 0.000
1.977 1.977 0.000
0.000 1.977 1.966
1.977 0.000 1.966
```

As for the energy of formation from the pure elements: -0.028 eV per atom. The calculation puts the total moment at 0.00 μB per formula unit. Its symmetry is No. 123. The calculation puts the total energy at -45.1 eV/cell.

=====

Record 9
Material: Nb3Re2Os
Method: DFT, PBE
State: relaxed

Structure (POSCAR):
```
Nb3Re2Os
1.0
3.199 0.000 0.000
0.000 3.199 0.000
0.000 0.000 9.614
Nb Re Os
3 2 1
Cartesian
0.000 0.000 0.000
0.000 0.000 3.175
0.000 0.000 6.439
1.599 1.599 1.613
1.599 1.599 8.001
1.599 1.599 4.807
```

As for the energy of formation from the pure elements: -0.236 eV per atom. The calculation puts the total moment at 0.00 μB per formula unit. Its symmetry is No. 123. The calculation puts the total energy at -67.7 eV/cell.

=====

Record 10
Material: Nb6ReOs
Method: DFT, PBE
State: relaxed

Structure (POSCAR):
```
Nb6ReOs
1.0
4.576 0.000 0.000
0.000 4.576 0.000
0.000 0.000 13.146
Nb Re Os
12 2 2
Cartesian
0.000 0.000 3.280
0.000 0.000 9.866
0.000 2.288 1.598
0.000 2.288 4.975
0.000 2.288 8.171
0.000 2.288 11.548
2.288 0.000 1.598
2.288 0.000 4.975
2.288 0.000 8.171
2.288 0.000 11.548
2.288 2.288 3.293
2.288 2.288 9.853
0.000 0.000 0.000
2.288 2.288 6.573
0.000 0.000 6.573
2.288 2.288 0.000
```

As for the energy of formation from the pure elements: -0.199 eV per atom. The calculation puts the total moment at 0.00 μB per formula unit. Its symmetry is No. 139. The calculation puts the total energy at -171.4 eV/cell.

=====

Record 11
Material: Nb3ReOs
Method: DFT, PBE
State: relaxed

Structure (POSCAR):
```
Nb3ReOs
1.0
4.768 0.000 0.000
0.000 4.768 0.000
0.000 0.000 4.768
Nb Re Os
3 1 1
Cartesian
0.000 0.000 2.384
0.000 2.384 0.000
2.384 0.000 0.000
2.384 2.384 2.384
0.000 0.000 0.000
```

As for the energy of formation from the pure elements: 1.551 eV per atom. The calculation puts the total moment at 0.01 μB per formula unit. Its symmetry is No. 221. The calculation puts the total energy at -46.1 eV/cell.

=====

Record 12
Material: NbReOs2
Method: DFT, PBE
State: relaxed

Structure (POSCAR):
```
NbReOs2
1.0
2.784 0.000 0.000
-1.392 2.411 0.000
0.000 0.000 27.568
Nb Re Os
3 3 6
Cartesian
0.000 0.000 0.000
0.000 1.607 18.379
1.392 0.804 9.189
0.000 0.000 13.784
0.000 1.607 4.595
1.392 0.804 22.973
0.000 0.000 6.787
0.000 0.000 20.781
0.000 1.607 11.592
0.000 1.607 25.166
1.392 0.804 2.403
1.392 0.804 15.976
```

As for the energy of formation from the pure elements: 0.099 eV per atom. The calculation puts the total moment at 0.00 μB per formula unit. Its symmetry is No. 166. The calculation puts the total energy at -133.7 eV/cell.